This record from the Alexandria database describes a geometry-optimized RbEr2CuSe4 structure. The functional is PBE.

abc: 4.1147 7.4206 14.3666
angles: 90.00 90.00 106.10
With the nearest neighbours (Å) after each atom.
Element x y z (fractional)
Er1 0.3663 0.7327 0.9359  6 Se 2.82-2.95
Er2 0.3663 0.7327 0.5641  6 Se 2.82-2.95
Er3 0.6337 0.2673 0.4359  6 Se 2.82-2.95
Er4 0.6337 0.2673 0.0641  6 Se 2.82-2.95
Se1 0.5697 0.1394 0.2500  2 Cu 2.45
Se2 0.0000 0.0000 0.5000  4 Er 2.95
Se3 0.4303 0.8606 0.7500  2 Cu 2.45
Se4 0.7389 0.4778 0.8920  1 Cu 2.47
Se5 0.7389 0.4778 0.6080  1 Cu 2.47
Se6 0.2611 0.5222 0.3920  1 Cu 2.47
Se7 0.0000 0.0000 0.0000  4 Er 2.95
Se8 0.2611 0.5222 0.1080  1 Cu 2.47
Cu1 0.1631 0.3261 0.2500  4 Se 2.45-2.47
Cu2 0.8369 0.6739 0.7500  4 Se 2.45-2.47
Rb1 0.8885 0.7769 0.2500  6 Se 3.30-3.42
Rb2 0.1115 0.2231 0.7500  6 Se 3.30-3.42

The calculation puts the spin magnetization at 0.000 μB/atom. Its space-group type is No. 63. The calculation puts the raw formation energy at -11.92 eV per formula unit. The value obtained for the final energy is -80.10 eV/cell. As for the calculated volume: 421 Å³/cell.